1.
A plane-wave DFT calculation with GGA-PBE was carried out for Rb2HfBeCu after structural relaxation.

The calculation puts the calculated formation energy at 1.59 eV/atom. The uncorrected energy comes out at -11.7 eV for the cell shown.

It has space group P4/mmm (No. 123), with a = 7.005 Å, b = 7.005 Å, c = 4.769 Å, α = 90.00°, β = 90.00° and γ = 90.00°. The distinct sites, in fractional coordinates, are Rb at (0.000, 0.500, 0.000), Hf at (0.000, 0.000, 0.000), Be at (0.000, 0.000, 0.500) and Cu at (0.500, 0.500, 0.500).

2.
A plane-wave DFT calculation with GGA-PBE was carried out for SnO after structural relaxation.

For the uncorrected formation energy, the calculation gives -2.2 eV per formula unit. The uncorrected energy comes out at -178.6 eV for the cell shown.

It has space group Fddd (No. 70, origin choice 2), with a = 7.234 Å, b = 9.176 Å, c = 9.286 Å, α = 90.00°, β = 90.00° and γ = 90.00°. The distinct sites, in fractional coordinates, are Sn at (0.108, 0.375, 0.375) and O at (0.125, 0.125, 0.273).

3.
A plane-wave DFT calculation with GGA-PBE was carried out for TbPr2Tm after structural relaxation.

The calculation puts the relative energy among the computed polymorphs at 2.08 kcal/mol of atoms. The calculation puts the calculated formation energy at 0.10 eV/atom. The uncorrected energy comes out at -36.5 eV for the cell shown.

It has space group Imm2 (No. 44), with a = 3.793 Å, b = 5.934 Å, c = 12.023 Å, α = 90.00°, β = 90.00° and γ = 90.00°. The distinct sites, in fractional coordinates, are Tb at (0.000, 0.000, 0.000), Pr at (0.000, 0.000, 0.522), Pr at (0.000, 0.500, 0.755) and Tm at (0.000, 0.500, 0.265).

4.
A plane-wave DFT calculation with GGA-PBE was carried out for HoErGaGe after structural relaxation.

The calculation puts the relative energy among the computed polymorphs at 0.00 kcal/mol of atoms. The calculation puts the calculated formation energy at -0.79 eV/atom. The uncorrected energy comes out at -39.9 eV for the cell shown.

It has space group Amm2 (No. 38), with a = 3.980 Å, b = 4.291 Å, c = 10.707 Å, α = 90.00°, β = 90.00° and γ = 90.00°. The distinct sites, in fractional coordinates, are Ho at (0.000, 0.000, 0.000), Er at (0.500, 0.000, 0.279), Ga at (0.500, 0.000, 0.559) and Ge at (0.000, 0.000, 0.720).